Computed, not measured: a relaxed MoAsC2F crystal at the PBE with a Hubbard U level of DFT.

a = 4.0173 Å, b = 4.0173 Å, c = 4.9998 Å
α = 90.00°, β = 90.00°, γ = 90.00°
Space group P4/mmm (No. 123)
Unique sites:
1 Mo 0.0000 0.0000 0.0000
2 As 0.0000 0.0000 0.5000
3 C 0.0000 0.5000 0.0000
4 F 0.5000 0.5000 0.5000

Calculated values
The size of the total moment is 0.0109 μB/atom. The crystal system is tetragonal. The total energy is -5.069 eV/atom. Its density of states at the Fermi level is 0.277 states/eV/atom.